Record 1
A crystal of CdIrF2 relaxed with PBEsol, computed with SCAN.

Calculated values
As for the space group: R-3m (166). For the formation energy without anion corrections, the calculation gives -133 kJ/mol of formula units. The calculation puts the uncorrected energy at -329.902 eV for the cell shown.

a b c (Å): 2.750 2.750 25.178
angles (deg): 90.00 90.00 120.00
Fractional positions:
1 Cd 0.000 0.000 0.000
2 Cd 0.333 0.667 0.667
3 Cd 0.667 0.333 0.333
4 Ir 0.000 0.000 0.500
5 Ir 0.333 0.667 0.167
6 Ir 0.667 0.333 0.833
7 F 0.000 0.000 0.092
8 F 0.000 0.000 0.908
9 F 0.333 0.667 0.575
10 F 0.333 0.667 0.759
11 F 0.667 0.333 0.241
12 F 0.667 0.333 0.425

---

Record 2
A crystal of KCdF2 relaxed with PBEsol, computed with SCAN.

Calculated values
As for the space group: R-3m (166). For the formation energy without anion corrections, the calculation gives -701 kJ/mol of formula units. The calculation puts the uncorrected energy at -159.274 eV for the cell shown.

a b c (Å): 3.763 3.763 21.008
angles (deg): 90.00 90.00 120.00
Fractional positions:
1 K 0.000 0.000 0.000
2 K 0.333 0.667 0.667
3 K 0.667 0.333 0.333
4 Cd 0.000 0.000 0.500
5 Cd 0.333 0.667 0.167
6 Cd 0.667 0.333 0.833
7 F 0.000 0.000 0.117
8 F 0.000 0.000 0.883
9 F 0.333 0.667 0.549
10 F 0.333 0.667 0.784
11 F 0.667 0.333 0.216
12 F 0.667 0.333 0.451

---

Record 3
A crystal of KCdNF2 relaxed with PBEsol, computed with SCAN.

Calculated values
As for the space group: P4/mmm (123). For the formation energy without anion corrections, the calculation gives -562 kJ/mol of formula units. The calculation puts the uncorrected energy at -60.939 eV for the cell shown.

a b c (Å): 4.552 4.552 4.283
angles (deg): 90.00 90.00 90.00
Fractional positions:
1 K 0.000 0.000 0.000
2 Cd 0.500 0.500 0.500
3 N 0.500 0.500 0.000
4 F 0.000 0.500 0.500
5 F 0.500 0.000 0.500